Entry 1:
Density functional theory data (PBE) for a geometry-optimized PaMo2 structure.

Space-group type: Fd-3m, No. 227
Relative energy among the computed polymorphs, meV/atom: 0.0

```
data_PaMo2
_symmetry_space_group_name_H-M 'P 1'
_symmetry_Int_Tables_number 1
_cell_length_a 5.480
_cell_length_b 5.480
_cell_length_c 5.480
_cell_angle_alpha 60.00
_cell_angle_beta 60.00
_cell_angle_gamma 60.00
loop_
_symmetry_equiv_pos_as_xyz
'x,y,z'
loop_
_atom_site_label
_atom_site_type_symbol
_atom_site_fract_x
_atom_site_fract_y
_atom_site_fract_z
_atom_site_occupancy
Mo1 Mo 0.625 0.625 0.625 1
Mo2 Mo 0.625 0.625 0.125 1
Mo3 Mo 0.625 0.125 0.625 1
Mo4 Mo 0.125 0.625 0.625 1
Pa1 Pa 0.000 0.000 0.000 1
Pa2 Pa 0.250 0.250 0.250 1
```

---

Entry 2:
Density functional theory data (PBE) for a geometry-optimized PaMo4 structure.

E, eV/atom: -8.583
Space-group type: Pm-3m, No. 221

```
data_PaMo4
_symmetry_space_group_name_H-M 'P 1'
_symmetry_Int_Tables_number 1
_cell_length_a 4.786
_cell_length_b 4.786
_cell_length_c 4.786
_cell_angle_alpha 90.00
_cell_angle_beta 90.00
_cell_angle_gamma 90.00
loop_
_symmetry_equiv_pos_as_xyz
'x,y,z'
loop_
_atom_site_label
_atom_site_type_symbol
_atom_site_fract_x
_atom_site_fract_y
_atom_site_fract_z
_atom_site_occupancy
Pa1 Pa 0.500 0.500 0.500 1
Mo1 Mo 0.000 0.000 0.000 1
Mo2 Mo 0.500 0.500 0.000 1
Mo3 Mo 0.000 0.500 0.500 1
Mo4 Mo 0.500 0.000 0.500 1
```

---

Entry 3:
Density functional theory data (PBE) for a geometry-optimized PaMo3 structure.

Space-group type: Fm-3m, No. 225
Relative energy among the computed polymorphs, meV/atom: 0.0

```
data_PaMo3
_symmetry_space_group_name_H-M 'P 1'
_symmetry_Int_Tables_number 1
_cell_length_a 4.655
_cell_length_b 4.655
_cell_length_c 4.655
_cell_angle_alpha 60.00
_cell_angle_beta 60.00
_cell_angle_gamma 60.00
loop_
_symmetry_equiv_pos_as_xyz
'x,y,z'
loop_
_atom_site_label
_atom_site_type_symbol
_atom_site_fract_x
_atom_site_fract_y
_atom_site_fract_z
_atom_site_occupancy
Mo1 Mo 0.250 0.250 0.250 1
Mo2 Mo 0.000 0.000 0.000 1
Mo3 Mo 0.750 0.750 0.750 1
Pa1 Pa 0.500 0.500 0.500 1
```

---

Entry 4:
Density functional theory data (PBE) for a geometry-optimized Pa4Mo structure.

E, eV/atom: -9.035
Space-group type: Pm-3m, No. 221

```
data_Pa4Mo
_symmetry_space_group_name_H-M 'P 1'
_symmetry_Int_Tables_number 1
_cell_length_a 5.213
_cell_length_b 5.213
_cell_length_c 5.213
_cell_angle_alpha 90.00
_cell_angle_beta 90.00
_cell_angle_gamma 90.00
loop_
_symmetry_equiv_pos_as_xyz
'x,y,z'
loop_
_atom_site_label
_atom_site_type_symbol
_atom_site_fract_x
_atom_site_fract_y
_atom_site_fract_z
_atom_site_occupancy
Mo1 Mo 0.500 0.500 0.500 1
Pa1 Pa 0.500 0.500 0.000 1
Pa2 Pa 0.000 0.500 0.500 1
Pa3 Pa 0.500 0.000 0.500 1
Pa4 Pa 0.000 0.000 0.000 1
```

---

Entry 5:
Density functional theory data (PBE) for a geometry-optimized PaMo2 structure.

Space-group type: I4/mmm, No. 139
Relative energy among the computed polymorphs, meV/atom: 83.9

```
data_PaMo2
_symmetry_space_group_name_H-M 'P 1'
_symmetry_Int_Tables_number 1
_cell_length_a 3.168
_cell_length_b 3.168
_cell_length_c 6.158
_cell_angle_alpha 104.91
_cell_angle_beta 104.91
_cell_angle_gamma 90.00
loop_
_symmetry_equiv_pos_as_xyz
'x,y,z'
loop_
_atom_site_label
_atom_site_type_symbol
_atom_site_fract_x
_atom_site_fract_y
_atom_site_fract_z
_atom_site_occupancy
Pa1 Pa 0.000 0.000 0.000 1
Mo1 Mo 0.312 0.312 0.624 1
Mo2 Mo 0.688 0.688 0.376 1
```

---

Entry 6:
Density functional theory data (PBE) for a geometry-optimized PaMo2 structure.

Space-group type: C2/m, No. 12
Relative energy among the computed polymorphs, meV/atom: 193.9

```
data_PaMo2
_symmetry_space_group_name_H-M 'P 1'
_symmetry_Int_Tables_number 1
_cell_length_a 4.486
_cell_length_b 4.485
_cell_length_c 3.172
_cell_angle_alpha 76.71
_cell_angle_beta 76.71
_cell_angle_gamma 70.62
loop_
_symmetry_equiv_pos_as_xyz
'x,y,z'
loop_
_atom_site_label
_atom_site_type_symbol
_atom_site_fract_x
_atom_site_fract_y
_atom_site_fract_z
_atom_site_occupancy
Mo1 Mo 0.114 0.660 0.643 1
Mo2 Mo 0.447 0.994 0.830 1
Pa1 Pa 0.780 0.327 0.237 1
```

---

Entry 7:
Density functional theory data (PBE) for a geometry-optimized Pa2MoPb structure.

Space-group type: P4/mmm, No. 123
Relative energy among the computed polymorphs, meV/atom: 0.0

```
data_Pa2MoPb
_symmetry_space_group_name_H-M 'P 1'
_symmetry_Int_Tables_number 1
_cell_length_a 3.315
_cell_length_b 3.315
_cell_length_c 8.821
_cell_angle_alpha 90.00
_cell_angle_beta 90.00
_cell_angle_gamma 90.00
loop_
_symmetry_equiv_pos_as_xyz
'x,y,z'
loop_
_atom_site_label
_atom_site_type_symbol
_atom_site_fract_x
_atom_site_fract_y
_atom_site_fract_z
_atom_site_occupancy
Pa1 Pa 0.000 0.000 0.794 1
Pa2 Pa 0.000 0.000 0.206 1
Pb1 Pb 0.500 0.500 0.500 1
Mo1 Mo 0.500 0.500 0.000 1
```

---

Entry 8:
Density functional theory data (PBE) for a geometry-optimized Pa2MoPb structure.

Space-group type: P4/mmm, No. 123
Relative energy among the computed polymorphs, meV/atom: 138.8

```
data_Pa2MoPb
_symmetry_space_group_name_H-M 'P 1'
_symmetry_Int_Tables_number 1
_cell_length_a 4.527
_cell_length_b 4.487
_cell_length_c 4.487
_cell_angle_alpha 90.00
_cell_angle_beta 90.00
_cell_angle_gamma 90.00
loop_
_symmetry_equiv_pos_as_xyz
'x,y,z'
loop_
_atom_site_label
_atom_site_type_symbol
_atom_site_fract_x
_atom_site_fract_y
_atom_site_fract_z
_atom_site_occupancy
Pa1 Pa 0.000 0.500 0.000 1
Pa2 Pa 0.000 0.000 0.500 1
Pb1 Pb 0.500 0.000 0.000 1
Mo1 Mo 0.500 0.500 0.500 1
```